1.
{"formula": "HfSiBI2", "functional": "PBE-GGA", "state": "relaxed", "lattice": [[5.415, 0.000, 0.000], [0.000, 5.415, 0.000], [0.000, 0.000, 5.252]], "species": ["Hf", "Si", "B", "I", "I"], "fractional_positions": [[0.000, 0.000, 0.000], [0.000, 0.000, 0.500], [0.500, 0.500, 0.000], [0.000, 0.500, 0.500], [0.500, 0.000, 0.500]], "crystal_system": "tetragonal", "e_form_raw_ev_per_atom": 1.564, "magmom_total_mub_per_cell": 0.9}

2.
{"formula": "Hf2SiBI", "functional": "PBE-GGA", "state": "relaxed", "lattice": [[4.901, 0.000, 0.000], [0.000, 4.901, 0.000], [0.000, 0.000, 3.702]], "species": ["Hf", "Hf", "Si", "B", "I"], "fractional_positions": [[0.000, 0.500, 0.000], [0.500, 0.000, 0.000], [0.000, 0.000, 0.500], [0.000, 0.000, 0.000], [0.500, 0.500, 0.500]], "crystal_system": "tetragonal", "e_form_raw_ev_per_atom": 0.055, "magmom_total_mub_per_cell": 0.0}

3.
{"formula": "SrHfBI2", "functional": "PBE-GGA", "state": "relaxed", "lattice": [[5.325, 0.000, 0.000], [0.000, 5.325, 0.000], [0.000, 0.000, 5.213]], "species": ["Sr", "Hf", "B", "I", "I"], "fractional_positions": [[0.000, 0.000, 0.000], [0.500, 0.500, 0.000], [0.000, 0.000, 0.500], [0.000, 0.500, 0.500], [0.500, 0.000, 0.500]], "crystal_system": "tetragonal", "e_form_raw_ev_per_atom": 0.995, "magmom_total_mub_per_cell": 1.9}